[1]
Ca2SmZn3: relaxed, PBE.

Values from the calculation:
Uncorrected energy: -2.355 eV per atom
ΔE_f: -26 kJ per mole of atoms
Symmetry: P4/mmm
M_tot: 0.02 μB per atom

Unit cell a=3.661 b=3.661 c=11.045 alpha=90.00 beta=90.00 gamma=90.00
Each line ends with the local moment (μB).
Sites, in units of the cell vectors:
Ca 0.500 0.500 0.167  0.00
Zn 0.000 0.000 0.000  0.00
Sm 0.500 0.500 0.500  0.06
Zn 0.000 0.000 0.660  0.00
Ca 0.500 0.500 0.833  0.00
Zn 0.000 0.000 0.340  0.00

=====

[2]
Ca2SmZn3: relaxed, PBE.

Values from the calculation:
Uncorrected energy: -2.368 eV per atom
ΔE_f: -27 kJ per mole of atoms
Symmetry: P-3m1
M_tot: 0.00 μB per atom

Unit cell a=5.171 b=5.171 c=6.362 alpha=90.00 beta=90.00 gamma=120.00
Sites, in units of the cell vectors:
Sm 0.000 0.000 0.000
Zn 0.667 0.333 0.843
Ca 0.667 0.333 0.339
Zn 0.000 0.000 0.500
Zn 0.333 0.667 0.157
Ca 0.333 0.667 0.661

=====

[3]
Ca2SmZn2: relaxed, PBE.

Values from the calculation:
Uncorrected energy: -2.447 eV per atom
ΔE_f: -19 kJ per mole of atoms
Symmetry: Cmmm
M_tot: 0.03 μB per atom

Unit cell a=3.610 b=3.695 c=10.818 alpha=80.17 beta=90.00 gamma=90.00
Each line ends with the local moment (μB).
Sites, in units of the cell vectors:
Ca 0.000 0.830 0.340  0.00
Zn 0.500 0.416 0.168  0.00
Zn 0.500 0.584 0.832  0.00
Ca 0.000 0.170 0.660  0.00
Sm 0.000 0.000 0.000  0.07

=====

[4]
Ca2Sm3Zn3: relaxed, PBE.

Values from the calculation:
Uncorrected energy: -2.922 eV per atom
ΔE_f: -17 kJ per mole of atoms
Symmetry: Immm
M_tot: 0.00 μB per atom

Unit cell a=3.655 b=5.259 c=12.113 alpha=102.54 beta=98.68 gamma=90.00
Sites, in units of the cell vectors:
Sm 0.500 0.000 0.000
Zn 0.894 0.894 0.789
Ca 0.285 0.785 0.570
Sm 0.609 0.609 0.218
Ca 0.715 0.215 0.430
Zn 0.106 0.106 0.211
Zn 0.000 0.500 0.000
Sm 0.391 0.391 0.782

=====

[5]
CaSm2Zn2: relaxed, PBE.

Values from the calculation:
Uncorrected energy: -3.011 eV per atom
ΔE_f: -21 kJ per mole of atoms
Symmetry: P2_1/m
M_tot: 0.00 μB per atom

Unit cell a=3.675 b=5.300 c=13.786 alpha=90.00 beta=97.70 gamma=90.00
Sites, in units of the cell vectors:
Ca 0.142 0.250 0.283
Sm 0.953 0.250 0.907
Zn 0.640 0.750 0.280
Sm 0.047 0.750 0.093
Zn 0.454 0.750 0.909
Sm 0.770 0.250 0.540
Zn 0.546 0.250 0.091
Ca 0.858 0.750 0.717
Zn 0.360 0.250 0.720
Sm 0.230 0.750 0.460

=====

[6]
CaSmZn: relaxed, PBE.

Values from the calculation:
Uncorrected energy: -2.649 eV per atom
ΔE_f: 2 kJ per mole of atoms
Symmetry: F-43m
M_tot: 0.00 μB per atom

Unit cell a=5.087 b=5.087 c=5.087 alpha=60.00 beta=60.00 gamma=60.00
Sites, in units of the cell vectors:
Sm 0.000 0.000 0.000
Ca 0.500 0.500 0.500
Zn 0.250 0.250 0.250

=====

[7]
CaSm2Zr: relaxed, PBE.

Values from the calculation:
Uncorrected energy: -4.595 eV per atom
ΔE_f: 39 kJ per mole of atoms
Symmetry: R-3m
M_tot: 0.00 μB per atom

Unit cell a=3.404 b=3.404 c=12.722 alpha=82.31 beta=82.31 gamma=60.00
Sites, in units of the cell vectors:
Ca 0.500 0.500 0.500
Sm 0.082 0.082 0.754
Sm 0.918 0.918 0.246
Zr 0.000 0.000 0.000

=====

[8]
Ca2SmZr: relaxed, PBE.

Values from the calculation:
Uncorrected energy: -3.871 eV per atom
ΔE_f: 43 kJ per mole of atoms
Symmetry: R-3m
M_tot: 0.00 μB per atom

Unit cell a=3.407 b=3.407 c=13.081 alpha=82.52 beta=82.52 gamma=60.00
Sites, in units of the cell vectors:
Zr 0.000 0.000 0.000
Sm 0.500 0.500 0.500
Ca 0.084 0.084 0.747
Ca 0.916 0.916 0.253

=====

[9]
CaSmZr: relaxed, PBE.

Values from the calculation:
Uncorrected energy: -4.908 eV per atom
ΔE_f: 18 kJ per mole of atoms
Symmetry: I4mm
M_tot: 0.00 μB per atom

Unit cell a=3.438 b=3.438 c=8.330 alpha=101.91 beta=101.91 gamma=90.00
Sites, in units of the cell vectors:
Zr 0.676 0.676 0.351
Sm 0.315 0.315 0.629
Ca 0.010 0.010 0.019

=====

[10]
CaSm2Zr: relaxed, PBE.

Values from the calculation:
Uncorrected energy: -4.861 eV per atom
ΔE_f: 13 kJ per mole of atoms
Symmetry: R3m
M_tot: 0.00 μB per atom

Unit cell a=3.528 b=3.528 c=12.046 alpha=81.58 beta=81.58 gamma=60.00
Sites, in units of the cell vectors:
Sm 0.259 0.259 0.222
Ca 0.500 0.500 0.501
Zr 0.667 0.667 0.000
Sm 0.074 0.074 0.777

=====

[11]
CaSmZr: relaxed, PBE.

Values from the calculation:
Uncorrected energy: -4.867 eV per atom
ΔE_f: 21 kJ per mole of atoms
Symmetry: P-1
M_tot: 0.00 μB per atom

Unit cell a=3.383 b=6.098 c=10.068 alpha=115.55 beta=88.49 gamma=84.87
Sites, in units of the cell vectors:
Ca 0.891 0.526 0.199
Ca 0.109 0.474 0.801
Sm 0.749 0.194 0.424
Zr 0.308 0.948 0.106
Sm 0.251 0.806 0.576
Zr 0.692 0.052 0.894

=====

[12]
CaSm2Zr: relaxed, PBE.

Values from the calculation:
Uncorrected energy: -4.886 eV per atom
ΔE_f: 11 kJ per mole of atoms
Symmetry: P4/mmm
M_tot: 0.00 μB per atom

Unit cell a=3.541 b=3.541 c=10.251 alpha=90.00 beta=90.00 gamma=90.00
Sites, in units of the cell vectors:
Sm 0.000 0.000 0.217
Ca 0.500 0.500 0.500
Zr 0.500 0.500 0.000
Sm 0.000 0.000 0.783

=====

[13]
Ca3Sn2: relaxed, PBE.

Values from the calculation:
Uncorrected energy: -3.289 eV per atom
ΔE_f: -47 kJ per mole of atoms
Symmetry: I4/mmm
M_tot: 0.00 μB per atom

Unit cell a=4.065 b=4.065 c=9.774 alpha=102.00 beta=102.00 gamma=90.00
Sites, in units of the cell vectors:
Sn 0.395 0.395 0.790
Ca 0.000 0.000 0.000
Ca 0.814 0.814 0.629
Ca 0.186 0.186 0.371
Sn 0.605 0.605 0.210

=====

[14]
Ca5Sn4: relaxed, PBE.

Values from the calculation:
Uncorrected energy: -3.524 eV per atom
ΔE_f: -61 kJ per mole of atoms
Symmetry: C2/m
M_tot: 0.00 μB per atom

Unit cell a=4.895 b=6.235 c=10.425 alpha=75.86 beta=76.42 gamma=66.88
Sites, in units of the cell vectors:
Ca 0.092 0.205 0.612
Sn 0.550 0.742 0.158
Ca 0.000 0.000 0.000
Ca 0.755 0.661 0.829
Sn 0.374 0.643 0.610
Ca 0.908 0.795 0.388
Sn 0.626 0.357 0.390
Sn 0.450 0.258 0.842
Ca 0.245 0.339 0.171

=====

[15]
CaSn: relaxed, PBE.

Values from the calculation:
Uncorrected energy: -2.644 eV per atom
ΔE_f: 35 kJ per mole of atoms
Symmetry: Pm-3n
M_tot: 0.69 μB per atom

Unit cell a=8.926 b=8.926 c=8.926 alpha=90.00 beta=90.00 gamma=90.00
Each line ends with the local moment (μB).
Sites, in units of the cell vectors:
Sn 0.250 0.500 0.000  0.46
Sn 0.500 0.000 0.250  0.46
Ca 0.000 0.500 0.750  0.12
Ca 0.000 0.500 0.250  0.12
Ca 0.750 0.000 0.500  0.12
Ca 0.500 0.250 0.000  0.12
Ca 0.250 0.000 0.500  0.12
Sn 0.750 0.500 0.000  0.46
Ca 0.500 0.750 0.000  0.12
Sn 0.000 0.250 0.500  0.46
Sn 0.000 0.750 0.500  0.46
Sn 0.500 0.000 0.750  0.46

=====

[16]
Ca2Sn3: relaxed, PBE.

Values from the calculation:
Uncorrected energy: -3.657 eV per atom
ΔE_f: -44 kJ per mole of atoms
Symmetry: Cmce
M_tot: 0.00 μB per atom

Unit cell a=6.250 b=6.250 c=8.629 alpha=90.00 beta=90.00 gamma=62.19
Sites, in units of the cell vectors:
Sn 0.130 0.631 0.750
Ca 0.145 0.145 0.602
Sn 0.869 0.369 0.250
Sn 0.630 0.131 0.750
Ca 0.855 0.855 0.398
Sn 0.000 0.000 0.000
Sn 0.369 0.869 0.250
Ca 0.355 0.355 0.102
Sn 0.500 0.500 0.500
Ca 0.645 0.645 0.898

=====

[17]
CaSn: relaxed, PBE.

Values from the calculation:
Uncorrected energy: -3.006 eV per atom
ΔE_f: 0 kJ per mole of atoms
Symmetry: P6_3/mmc
M_tot: 0.00 μB per atom

Unit cell a=5.562 b=5.562 c=6.307 alpha=90.00 beta=90.00 gamma=120.00
Sites, in units of the cell vectors:
Sn 0.667 0.333 0.250
Sn 0.333 0.667 0.750
Ca 0.333 0.667 0.250
Ca 0.667 0.333 0.750

=====

[18]
Ca2Sn: relaxed, PBE.

Values from the calculation:
Uncorrected energy: -3.288 eV per atom
ΔE_f: -60 kJ per mole of atoms
Symmetry: Fm-3m
M_tot: 0.00 μB per atom

Unit cell a=5.345 b=5.345 c=5.345 alpha=60.00 beta=60.00 gamma=60.00
Sites, in units of the cell vectors:
Sn 0.000 0.000 0.000
Ca 0.750 0.750 0.750
Ca 0.250 0.250 0.250

=====

[19]
Ca3Sn: relaxed, PBE.

Values from the calculation:
Uncorrected energy: -2.835 eV per atom
ΔE_f: -32 kJ per mole of atoms
Symmetry: I4/mmm
M_tot: 0.00 μB per atom

Unit cell a=5.093 b=5.093 c=6.099 alpha=114.68 beta=114.68 gamma=90.00
Sites, in units of the cell vectors:
Sn 0.000 0.000 0.000
Ca 0.500 0.500 0.000
Ca 0.750 0.250 0.500
Ca 0.250 0.750 0.500

=====

[20]
Ca3Sn: relaxed, PBE.

Values from the calculation:
Uncorrected energy: -2.949 eV per atom
ΔE_f: -43 kJ per mole of atoms
Symmetry: Pm-3m
M_tot: 0.00 μB per atom

Unit cell a=5.012 b=5.011 c=5.011 alpha=90.00 beta=90.00 gamma=90.00
Sites, in units of the cell vectors:
Ca 0.500 0.500 0.917
Sn 0.000 0.500 0.417
Ca 0.000 0.000 0.917
Ca 0.500 0.000 0.417

=====

[21]
CaSn: relaxed, PBE.

Values from the calculation:
Uncorrected energy: -3.603 eV per atom
ΔE_f: -58 kJ per mole of atoms
Symmetry: P2_12_12_1
M_tot: 0.00 μB per atom

Unit cell a=6.389 b=6.490 c=11.664 alpha=90.00 beta=90.00 gamma=90.00
Sites, in units of the cell vectors:
Sn 0.210 0.158 0.286
Sn 0.616 0.077 0.915
Sn 0.710 0.342 0.714
Ca 0.672 0.159 0.194
Ca 0.328 0.659 0.306
Ca 0.401 0.079 0.531
Sn 0.116 0.423 0.085
Ca 0.599 0.579 0.969
Ca 0.901 0.421 0.469
Ca 0.828 0.841 0.694
Ca 0.099 0.921 0.031
Sn 0.790 0.658 0.214
Sn 0.884 0.923 0.415
Sn 0.384 0.577 0.585
Sn 0.290 0.842 0.786
Ca 0.172 0.341 0.806

=====

[22]
CaSn: relaxed, PBE.

Values from the calculation:
Uncorrected energy: -3.334 eV per atom
ΔE_f: -32 kJ per mole of atoms
Symmetry: P6_3/m
M_tot: 0.00 μB per atom

Unit cell a=8.709 b=8.709 c=6.219 alpha=90.00 beta=90.00 gamma=120.00
Sites, in units of the cell vectors:
Ca 0.672 0.902 0.250
Ca 0.230 0.328 0.250
Sn 0.137 0.666 0.750
Ca 0.098 0.770 0.250
Sn 0.471 0.137 0.250
Ca 0.770 0.672 0.750
Sn 0.529 0.863 0.750
Sn 0.666 0.529 0.250
Ca 0.902 0.230 0.750
Sn 0.334 0.471 0.750
Ca 0.328 0.098 0.750
Sn 0.863 0.334 0.250

=====

[23]
CaSn: relaxed, PBE.

Values from the calculation:
Uncorrected energy: -3.533 eV per atom
ΔE_f: -51 kJ per mole of atoms
Symmetry: Pmmn
M_tot: 0.00 μB per atom

Unit cell a=17.181 b=5.308 c=3.873 alpha=90.00 beta=90.00 gamma=90.00
Sites, in units of the cell vectors:
Ca 0.658 0.542 0.500
Ca 0.158 0.458 0.000
Sn 0.000 0.500 0.500
Sn 0.182 0.952 0.500
Ca 0.500 0.009 0.500
Ca 0.842 0.458 0.000
Sn 0.318 0.048 0.000
Sn 0.500 0.500 0.000
Ca 0.000 0.991 0.000
Sn 0.682 0.048 0.000
Sn 0.818 0.952 0.500
Ca 0.342 0.542 0.500

=====

[24]
CaSn: relaxed, PBE.

Values from the calculation:
Uncorrected energy: -3.189 eV per atom
ΔE_f: -18 kJ per mole of atoms
Symmetry: P4/m
M_tot: 0.00 μB per atom

Unit cell a=11.520 b=11.520 c=5.130 alpha=90.00 beta=90.00 gamma=90.00
Sites, in units of the cell vectors:
Ca 0.822 0.662 0.500
Sn 0.127 0.494 0.000
Ca 0.178 0.338 0.500
Sn 0.873 0.506 0.000
Ca 0.662 0.178 0.500
Sn 0.874 0.364 0.500
Ca 0.771 0.948 0.000
Ca 0.948 0.229 0.000
Sn 0.636 0.874 0.500
Sn 0.364 0.126 0.500
Ca 0.052 0.771 0.000
Sn 0.494 0.873 0.000
Sn 0.506 0.127 0.000
Ca 0.229 0.052 0.000
Sn 0.126 0.636 0.500
Ca 0.338 0.822 0.500

=====

[25]
CaSn: relaxed, PBE.

Values from the calculation:
Uncorrected energy: -3.634 eV per atom
ΔE_f: -61 kJ per mole of atoms
Symmetry: Pnma
M_tot: 0.00 μB per atom

Unit cell a=4.388 b=6.237 c=8.946 alpha=90.00 beta=90.00 gamma=90.00
Sites, in units of the cell vectors:
Sn 0.250 0.638 0.050
Sn 0.750 0.138 0.450
Sn 0.250 0.862 0.550
Ca 0.750 0.623 0.322
Sn 0.750 0.362 0.950
Ca 0.750 0.877 0.822
Ca 0.250 0.377 0.678
Ca 0.250 0.123 0.178

=====

[26]
CaSn: relaxed, PBE.

Values from the calculation:
Uncorrected energy: -3.175 eV per atom
ΔE_f: -17 kJ per mole of atoms
Symmetry: Fm-3m
M_tot: 0.00 μB per atom

Unit cell a=6.457 b=6.457 c=6.457 alpha=90.00 beta=90.00 gamma=90.00
Sites, in units of the cell vectors:
Ca 0.500 0.500 0.000
Sn 0.000 0.500 0.000
Sn 0.000 0.000 0.500
Ca 0.500 0.000 0.500
Sn 0.500 0.000 0.000
Ca 0.000 0.500 0.500
Ca 0.000 0.000 0.000
Sn 0.500 0.500 0.500